# 1
Tm3Mg3Al2In: relaxed, PBE-GGA. Values from VASP.

* volume: 212 Å³/cell
* symmetry: No. 189
* electronic total energy: -31.116 eV/cell
* magnetization: 0.002 μB per formula unit

```
&SYSTEM
  ibrav = 0, nat = 9, ntyp = 4
/
ATOMIC_SPECIES
In 114.82 In.upf
Mg 24.30 Mg.upf
Al 26.98 Al.upf
Tm 168.93 Tm.upf
CELL_PARAMETERS angstrom
-6.931 1.982 -1.275
1.654 -3.892 5.976
0.679 3.875 2.336
ATOMIC_POSITIONS angstrom
In 0.000 0.000 0.000
Mg -0.962 1.467 2.328
Mg -4.882 3.431 0.208
Mg 1.585 -0.994 5.670
Al -0.868 0.004 4.727
Al -3.730 1.962 2.310
Tm 0.726 -1.709 2.624
Tm -3.044 0.871 -0.560
Tm -2.959 -1.071 2.636
```

# 2
AlFeReOs: relaxed, PBE-GGA. Values from VASP.

* volume: 54 Å³/cell
* symmetry: No. 216
* electronic total energy: -35.963 eV/cell
* magnetization: 1.956 μB per formula unit

```
&SYSTEM
  ibrav = 0, nat = 4, ntyp = 4
/
ATOMIC_SPECIES
Re 186.21 Re.upf
Al 26.98 Al.upf
Fe 55.84 Fe.upf
Os 190.23 Os.upf
CELL_PARAMETERS angstrom
1.714 -3.041 2.432
-1.925 -3.777 0.355
1.726 -3.445 -1.803
ATOMIC_POSITIONS angstrom
Re 0.757 -5.132 0.492
Al 0.000 0.000 0.000
Fe 1.136 -7.697 0.737
Os 0.379 -2.566 0.246
```

# 3
MoOs2: relaxed, PBE-GGA. Values from VASP.

* formation energy: 389 meV/atom
* volume: 94 Å³/cell
* symmetry: No. 227
* electronic total energy: -64.264 eV/cell
* magnetization: 0.001 μB per formula unit

```
&SYSTEM
  ibrav = 0, nat = 6, ntyp = 2
/
ATOMIC_SPECIES
Mo 95.94 Mo.upf
Os 190.23 Os.upf
CELL_PARAMETERS angstrom
-1.324 -1.585 4.659
-0.823 3.397 3.709
-4.730 0.803 1.716
ATOMIC_POSITIONS angstrom
Mo -1.719 0.654 2.521
Mo 0.000 0.000 0.000
Os -4.298 1.634 6.302
Os -1.933 1.233 5.444
Os -3.636 2.427 3.973
Os -3.887 -0.064 4.448
```

# 4
ScIn2Tc: relaxed, PBE-GGA. Values from VASP.

* volume: 77 Å³/cell
* symmetry: No. 216
* electronic total energy: -21.719 eV/cell
* magnetization: 0.004 μB per formula unit

```
&SYSTEM
  ibrav = 0, nat = 4, ntyp = 3
/
ATOMIC_SPECIES
In 114.82 In.upf
Sc 44.96 Sc.upf
Tc 98.00 Tc.upf
CELL_PARAMETERS angstrom
0.224 -4.738 -0.629
-2.397 -2.919 2.937
-3.828 -2.385 -1.598
ATOMIC_POSITIONS angstrom
In -3.001 -5.021 0.355
In -1.500 -2.511 0.178
Sc 0.000 0.000 0.000
Tc -4.501 -7.532 0.533
```

# 5
PrSmY: relaxed, PBE-GGA. Values from VASP.

* formation energy: 716 meV/atom
* volume: 119 Å³/cell
* symmetry: No. 216
* electronic total energy: -13.802 eV/cell
* magnetization: 0.068 μB per formula unit

```
&SYSTEM
  ibrav = 0, nat = 3, ntyp = 3
/
ATOMIC_SPECIES
Sm 150.36 Sm.upf
Pr 140.91 Pr.upf
Y 88.91 Y.upf
CELL_PARAMETERS angstrom
0.000 3.909 3.909
3.909 0.000 3.909
3.909 3.909 0.000
ATOMIC_POSITIONS angstrom
Sm 0.000 0.000 0.000
Pr 1.955 1.955 1.955
Y 5.864 5.864 5.864
```

# 6
CoBr: relaxed, PBE-GGA. Values from VASP.

* volume: 85 Å³/cell
* symmetry: No. 186
* electronic total energy: -16.276 eV/cell
* magnetization: 1.999 μB per formula unit

```
&SYSTEM
  ibrav = 0, nat = 4, ntyp = 2
/
ATOMIC_SPECIES
Co 58.93 Co.upf
Br 79.90 Br.upf
CELL_PARAMETERS angstrom
-0.047 3.695 -1.143
-2.418 -2.554 -1.611
-4.482 1.358 4.574
ATOMIC_POSITIONS angstrom
Co -1.667 0.505 1.701
Co -5.535 0.714 2.533
Br -0.014 0.004 0.014
Br -3.882 0.213 0.846
```

Respective density values: 5.85, 14.01, 16.91, 7.99, 5.28, 5.44 g/cm3.